# 1
# SrCd2SbRh2 PBE-GGA relaxed
data_SrCd2SbRh2
_symmetry_space_group_name_H-M 'P 4/m m m'
_symmetry_Int_Tables_number 123
_symmetry_space_group_name_Hall '-P 4 2'
_cell_length_a 4.9520
_cell_length_b 4.9520
_cell_length_c 6.2324
_cell_angle_alpha 90.00
_cell_angle_beta 90.00
_cell_angle_gamma 90.00
loop_
_atom_site_label
_atom_site_fract_x
_atom_site_fract_y
_atom_site_fract_z
Sr1 0.0000 0.0000 0.0000
Cd1 0.5000 0.5000 0.2465
Sb1 0.0000 0.0000 0.5000
Rh1 0.0000 0.5000 0.5000
# Calculated density: 6.95 Mg/m³
# Formation energy without anion corrections: -1.08 eV/f.u.

***

# 2
# Hg2MoIr PBE-GGA relaxed
data_Hg2MoIr
_symmetry_space_group_name_H-M 'R -3 m'
_symmetry_Int_Tables_number 166
_symmetry_space_group_name_Hall '-R 3 2"'
_cell_length_a 2.9783
_cell_length_b 2.9783
_cell_length_c 27.8901
_cell_angle_alpha 90.00
_cell_angle_beta 90.00
_cell_angle_gamma 120.00
loop_
_atom_site_label
_atom_site_fract_x
_atom_site_fract_y
_atom_site_fract_z
Hg1 0.0000 0.0000 0.2485
Mo1 0.0000 0.0000 0.0000
Ir1 0.0000 0.0000 0.5000
# Energy of formation from the pure elements: 14.3 kcal/mol of atoms
# Calculated density: 16.03 Mg/m³
# Energy above the lowest structure with this stoichiometry: 0.446 eV/atom

***

Number 1: total magnetization 0.0 μB per cell, uncorrected energy -3.90 eV per atom, volume 25.47 Å³/atom. Number 2: total magnetization 0.4 μB per cell, uncorrected energy -4.45 eV per atom, volume 17.85 Å³/atom.